DFT (PBE) results for a relaxed NaAlTe2 crystal.

Unit cell a=7.471 b=11.207 c=6.545 alpha=73.12 beta=89.97 gamma=48.29
Fractional coordinates of all 8 atoms:
Na1 0.140 0.923 0.484
Na2 0.148 0.417 0.740
Te1 0.642 0.619 0.879
Te2 0.025 0.234 0.568
Te3 0.637 0.233 0.087
Te4 0.249 0.618 0.394
Al1 0.646 0.418 0.736
Al2 0.629 0.436 0.227

Results
Calculated volume, Å³ per atom: 47.119
Total energy, eV per atom: -3.501
Space-group type: No. 1
Total magnetic moment, μB/atom: 0.0000


DFT (PBE) results for a relaxed AgSnH crystal.

Unit cell a=4.589 b=4.589 c=8.459 alpha=80.37 beta=80.37 gamma=38.93
Fractional coordinates of all 6 atoms:
H1 0.423 0.423 0.151
H2 0.330 0.330 0.156
Sn1 0.263 0.263 0.523
Sn2 0.490 0.490 0.784
Ag1 0.585 0.585 0.312
Ag2 0.168 0.168 0.995

Results
Calculated volume, Å³ per atom: 18.355
Energy above the lowest structure with this stoichiometry, meV per atom: 19
Space-group type: No. 12
Total magnetic moment, μB/atom: 0.0000


DFT (PBE) results for a relaxed CsInNi3 crystal.

Unit cell a=4.880 b=4.880 c=4.880 alpha=90.00 beta=90.00 gamma=90.00
Fractional coordinates of all 5 atoms:
Cs1 0.000 0.000 0.000
Ni1 0.000 0.500 0.000
Ni2 0.000 0.000 0.500
Ni3 0.500 0.000 0.000
In1 0.500 0.500 0.500

Results
Calculated volume, Å³ per atom: 23.236
Energy above the lowest structure with this stoichiometry, meV per atom: 833
Space-group type: No. 221
Energy relative to the elements, eV per atom: 1.78
Total magnetic moment, μB/atom: 0.0000


DFT (PBE) results for a relaxed Tm3CdO crystal.

Unit cell a=4.706 b=4.706 c=4.706 alpha=90.00 beta=90.00 gamma=90.00
Fractional coordinates of all 5 atoms:
Tm1 0.000 0.500 0.000
Tm2 0.000 0.000 0.500
Tm3 0.500 0.000 0.000
O1 0.000 0.000 0.000
Cd1 0.500 0.500 0.500

Results
Calculated volume, Å³ per atom: 20.846
Total energy, eV per atom: -5.175
Space-group type: No. 221
Total magnetic moment, μB/atom: 0.0000


DFT (PBE) results for a relaxed CeDy2Mg9 crystal.

Unit cell a=6.031 b=6.031 c=10.401 alpha=73.15 beta=73.15 gamma=60.00
Fractional coordinates of all 12 atoms:
Ce1 0.000 0.000 0.000
Dy1 0.856 0.856 0.433
Dy2 0.144 0.144 0.567
Mg1 0.666 0.666 0.002
Mg2 0.334 0.334 0.998
Mg3 0.500 0.500 0.500
Mg4 0.413 0.413 0.254
Mg5 0.920 0.413 0.254
Mg6 0.413 0.920 0.254
Mg7 0.587 0.587 0.746
Mg8 0.587 0.080 0.746
Mg9 0.080 0.587 0.746

Results
Calculated volume, Å³ per atom: 25.725
Space-group type: No. 166
Energy relative to the elements, eV per atom: -0.02
Total magnetic moment, μB/atom: 0.1071


DFT (PBE) results for a relaxed Cs2Sc2Bi2O crystal.

Unit cell a=4.570 b=4.570 c=11.351 alpha=101.61 beta=101.61 gamma=90.00
Fractional coordinates of all 7 atoms:
Cs1 0.177 0.177 0.354
Cs2 0.823 0.823 0.646
Sc1 0.000 0.500 0.000
Sc2 0.500 0.000 0.000
Bi1 0.405 0.405 0.810
Bi2 0.595 0.595 0.190
O1 0.000 0.000 0.000

Results
Calculated volume, Å³ per atom: 32.462
Total energy, eV per atom: -5.053
Space-group type: No. 139
Total magnetic moment, μB/atom: 0.0000


DFT (PBE) results for a relaxed TbSm2Dy2Y6 crystal.

Unit cell a=6.661 b=6.661 c=12.024 alpha=101.62 beta=101.62 gamma=129.48
Fractional coordinates of all 11 atoms:
Tb1 0.000 0.000 0.500
Sm1 0.866 0.134 0.000
Sm2 0.134 0.866 0.000
Dy1 0.294 0.706 0.500
Dy2 0.706 0.294 0.500
Y1 0.706 0.706 0.706
Y2 0.140 0.446 0.792
Y3 0.294 0.294 0.294
Y4 0.446 0.140 0.792
Y5 0.860 0.554 0.208
Y6 0.554 0.860 0.208

Results
Calculated volume, Å³ per atom: 33.005
Space-group type: No. 12
Energy relative to the elements, eV per atom: 0.15
Total magnetic moment, μB/atom: 0.0001


DFT (PBE) results for a relaxed AlPbS2 crystal.

Unit cell a=19.086 b=7.241 c=7.241 alpha=89.92 beta=112.97 gamma=67.03
Fractional coordinates of all 32 atoms:
Pb1 0.432 0.424 0.409
Pb2 0.068 0.909 0.924
Pb3 0.568 0.576 0.591
Pb4 0.932 0.091 0.076
Pb5 0.375 0.023 0.322
Pb6 0.125 0.822 0.523
Pb7 0.625 0.977 0.678
Pb8 0.875 0.178 0.477
S1 0.917 0.746 0.535
S2 0.583 0.035 0.246
S3 0.083 0.254 0.465
S4 0.417 0.965 0.754
S5 0.737 0.139 0.103
S6 0.763 0.603 0.639
S7 0.263 0.861 0.897
S8 0.237 0.397 0.361
S9 0.585 0.546 0.226
S10 0.915 0.726 0.046
S11 0.415 0.454 0.774
S12 0.085 0.274 0.954
S13 0.750 0.133 0.633
S14 0.250 0.867 0.367
S15 0.750 0.615 0.115
S16 0.250 0.385 0.885
Al1 0.165 0.205 0.296
Al2 0.335 0.796 0.705
Al3 0.835 0.795 0.704
Al4 0.665 0.204 0.295
Al5 0.325 0.299 0.699
Al6 0.175 0.199 0.799
Al7 0.675 0.701 0.301
Al8 0.825 0.801 0.201

Results
Calculated volume, Å³ per atom: 26.068
Total energy, eV per atom: -4.678
Space-group type: No. 15
Total magnetic moment, μB/atom: 0.0000